# 1
Entry from Alexandria via LeMat-Bulk: a relaxed structure of Sm4DyY2Ho2 (PBE).

POSCAR file:
```
Sm4DyY2Ho2
1.0
7.605 -2.532 0.000
7.605 2.532 0.000
-2.534 0.000 7.604
Sm Dy Y Ho
4 1 2 2
direct
0.055 0.055 0.331
0.278 0.278 0.668
0.722 0.722 0.332
0.945 0.945 0.669
0.500 0.500 0.000
0.388 0.388 0.331
0.612 0.612 0.669
0.167 0.167 0.000
0.833 0.833 0.000
```

Calculated values
symmetry	No. 12
E	-5.0436	eV per atom


# 2
Entry from Alexandria via LeMat-Bulk: a relaxed structure of Sm6Dy3Y2Ho (PBE).

POSCAR file:
```
Sm6Dy3Y2Ho
1.0
3.113 -5.390 0.000
3.113 5.390 0.000
-2.066 0.000 11.659
Sm Dy Y Ho
6 3 2 1
direct
0.084 0.416 0.750
0.249 0.249 0.250
0.416 0.084 0.750
0.584 0.916 0.250
0.751 0.751 0.750
0.916 0.584 0.250
0.167 0.833 0.000
0.500 0.500 0.000
0.833 0.167 0.000
0.333 0.667 0.500
0.667 0.333 0.500
0.000 0.000 0.500
```

Calculated values
symmetry	No. 12
E	-4.9554	eV per atom


no.,DFT formation energy (eV per atom),theoretical density (g/cm3)
1,0.019,7.2
2,0.014,7.4